This record from Alexandria via LeMat-Bulk describes an optimized crystal structure of Sm2AlGe3Pd4. The functional is PBE.

extended XYZ file:
```
10
Lattice="-2.3557 -2.8211 2.2128 0.7394 -2.9730 -3.0032 8.4236 -3.0438 5.0872" Properties=species:S:1:pos:R:3 pbc="T T T"
Pd -0.8082 -2.8971 -0.3952
Pd 4.1280 -3.3277 4.3107
Pd 3.4875 -2.6131 0.3813
Pd 0.0000 0.0000 0.0000
Sm 0.9179 -2.1678 2.3721
Sm 6.6975 -3.7730 2.3199
Ge 6.1395 -4.0546 5.5255
Ge 4.2118 -1.5219 2.5436
Ge 1.4759 -1.8862 -0.8335
Al 3.4037 -4.4189 2.1484
```

Summary:
E_tot (eV per atom): -5.629